1.
The following is a PBE calculation of a relaxed ScZn2Co crystal, from Alexandria.

Cell lengths 3.7243, 3.7184, 4.3299 Å; angles 90.00, 90.00, 90.00 degrees
With the nearest neighbours (Å) after each atom.
Fractional coordinates of all 4 atoms:
1 Co 0.5000 0.0000 0.5000  4 Sc 2.63, 8 Zn 2.85-2.86
2 Sc 0.0000 0.5000 0.5000  4 Co 2.63, 8 Zn 2.85-2.86
3 Zn 0.0000 0.0000 0.0000  4 Zn 2.63, 4 Sc 2.85, 4 Co 2.86
4 Zn 0.5000 0.5000 0.0000  4 Zn 2.63, 4 Co 2.85, 4 Sc 2.86

ΔE_f	-3.9	kcal/mol of atoms
M_tot	0.00	μB/cell
space-group type	P4/mmm, No. 123

2.
The following is a PBE calculation of a relaxed Li2PuTlBr8 crystal, from Alexandria.

Cell lengths 6.7106, 6.5708, 8.7886 Å; angles 89.99, 90.00, 94.93 degrees
With the nearest neighbours (Å) after each atom.
Fractional coordinates of all 12 atoms:
1 Li 0.4999 0.4998 0.7495  6 Br 2.70-2.95
2 Li 0.5001 0.5002 0.2505  6 Br 2.70-2.95
3 Pu 0.0000 0.0000 0.0000  6 Br 2.76-2.78
4 Tl 0.0000 0.0000 0.5000  6 Br 2.91-3.12
5 Br 0.1849 0.7845 0.2236  1 Pu 2.78, 1 Li 2.95
6 Br 0.6776 0.7084 0.0000  1 Pu 2.76, 2 Li 2.80
7 Br 0.8149 0.2153 0.2236  1 Pu 2.78, 1 Li 2.95
8 Br 0.8151 0.2155 0.7764  1 Pu 2.78, 1 Li 2.95
9 Br 0.3224 0.2916 0.0000  1 Pu 2.76, 2 Li 2.80
10 Br 0.1851 0.7847 0.7764  1 Pu 2.78, 1 Li 2.95
11 Br 0.6708 0.6816 0.5000  2 Li 2.70, 1 Tl 2.91
12 Br 0.3292 0.3184 0.5000  2 Li 2.70, 1 Tl 2.91

formation energy from raw total energies	-1.150	eV/atom
M_tot	4.02	μB/cell
space-group type	P2/m, No. 10

3.
The following is a PBE calculation of a relaxed Ce2ErThTe5 crystal, from Alexandria.

Cell lengths 5.4569, 5.4569, 11.7869 Å; angles 90.00, 90.00, 90.00 degrees
With the nearest neighbours (Å) after each atom.
Fractional coordinates of all 9 atoms:
1 Ce 0.5000 0.5000 0.3321  4 Te 3.37
2 Ce 0.5000 0.5000 0.6679  4 Te 3.37
3 Er 0.0000 0.0000 0.5000  6 Te 2.73-2.96
4 Th 0.0000 0.0000 0.0000  2 Te 2.93
5 Te 0.0000 0.5000 0.5000  2 Er 2.73
6 Te 0.5000 0.0000 0.5000  2 Er 2.73
7 Te 0.0000 0.0000 0.7512  1 Th 2.93, 1 Er 2.96
8 Te 0.0000 0.0000 0.2488  1 Th 2.93, 1 Er 2.96
9 Te 0.5000 0.5000 0.0000  4 Th 3.86, 2 Ce 3.91

formation energy from raw total energies	-0.708	eV/atom
M_tot	4.03	μB/cell
space-group type	P4/mmm, No. 123

4.
The following is a PBE calculation of a relaxed Ti3InAs crystal, from Alexandria.

Cell lengths 5.0184, 5.0184, 5.0184 Å; angles 90.00, 90.00, 90.00 degrees
With the nearest neighbours (Å) after each atom.
Fractional coordinates of all 5 atoms:
1 As 0.5000 0.5000 0.5000  12 Ti 3.55
2 Ti 0.0000 0.5000 0.0000  2 In 2.51
3 Ti 0.0000 0.0000 0.5000  2 In 2.51
4 Ti 0.5000 0.0000 0.0000  2 In 2.51
5 In 0.0000 0.0000 0.0000  6 Ti 2.51

ΔE_f	24.8	kcal/mol of atoms
relative energy among the computed polymorphs	1.251	eV per atom
M_tot	3.90	μB/cell
space-group type	Pm-3m, No. 221

5.
The following is a PBE calculation of a relaxed Tm2CdOs crystal, from Alexandria.

Cell lengths 3.4127, 3.4127, 10.5210 Å; angles 80.67, 80.67, 60.00 degrees
With the nearest neighbours (Å) after each atom.
Fractional coordinates of all 4 atoms:
1 Tm 0.1035 0.1035 0.6896  3 Os 2.78
2 Tm 0.8965 0.8965 0.3104  3 Os 2.78
3 Os 0.5000 0.5000 0.5000  6 Tm 2.78
4 Cd 0.0000 0.0000 0.0000  2 Tm 3.21, 6 Cd 3.41

ΔE_f	4.2	kcal/mol of atoms
relative energy among the computed polymorphs	0.553	eV per atom
M_tot	0.00	μB/cell
space-group type	R-3m, No. 166

6.
The following is a PBE calculation of a relaxed NdTlGe2Cl8 crystal, from Alexandria.

Cell lengths 6.9248, 6.3925, 9.1568 Å; angles 88.39, 86.32, 86.20 degrees
With the nearest neighbours (Å) after each atom.
Fractional coordinates of all 12 atoms:
1 Nd 0.0000 0.0000 0.0000  6 Cl 2.73-2.81
2 Tl 0.0000 0.0000 0.5000  6 Cl 3.18-3.25
3 Ge 0.4584 0.4622 0.7606  2 Cl 2.30-2.45
4 Ge 0.5416 0.5378 0.2394  2 Cl 2.30-2.45
5 Cl 0.1898 0.7801 0.2131  1 Nd 2.73, 1 Ge 2.82
6 Cl 0.6793 0.7513 0.0371  1 Ge 2.45
7 Cl 0.8566 0.2670 0.2186  1 Ge 2.69, 1 Nd 2.76
8 Cl 0.8102 0.2199 0.7869  1 Nd 2.73, 1 Ge 2.82
9 Cl 0.3207 0.2487 0.9629  1 Ge 2.45
10 Cl 0.1434 0.7330 0.7814  1 Ge 2.69, 1 Nd 2.76
11 Cl 0.6411 0.7250 0.4280  1 Ge 2.30
12 Cl 0.3589 0.2750 0.5720  1 Ge 2.30

formation energy from raw total energies	-1.309	eV/atom
M_tot	0.00	μB/cell
space-group type	P-1, No. 2